1.
PrLuGaPt | GGA-PBE | optimized geometry

Lattice parameters (Å, degrees): 5.067 5.067 5.067 60.00 60.00 60.00
Atoms (fractional coordinates):
Pr  0.000  0.000  0.000
Lu  0.500  0.500  0.500
Ga  0.250  0.250  0.250
Pt  0.750  0.750  0.750

Output
Calculated formation energy: -0.7860 eV per atom
Energy: -21.5 eV per cell
Size of the total moment: 0.0 μB per cell

2.
PrLuGaRh | GGA-PBE | optimized geometry

Lattice parameters (Å, degrees): 5.022 5.022 5.022 60.00 60.00 60.00
Atoms (fractional coordinates):
Pr  0.000  0.000  0.000
Lu  0.500  0.500  0.500
Ga  0.250  0.250  0.250
Rh  0.750  0.750  0.750

Output
Calculated formation energy: -0.5955 eV per atom
Energy: -22.1 eV per cell
Size of the total moment: 0.0 μB per cell

3.
PrLuGaRu | GGA-PBE | optimized geometry

Lattice parameters (Å, degrees): 4.991 4.991 4.991 60.00 60.00 60.00
Atoms (fractional coordinates):
Pr  0.000  0.000  0.000
Lu  0.500  0.500  0.500
Ga  0.250  0.250  0.250
Ru  0.750  0.750  0.750

Output
Calculated formation energy: -0.3625 eV per atom
Energy: -23.1 eV per cell
Size of the total moment: 0.0 μB per cell

Among the records above, which one has the highest calculated formation energy? PrLuGaRu

Which of these has the lowest energy? PrLuGaRu

Which formula does entry 3 have? PrLuGaRu

Among the records above, which one has the highest energy? PrLuGaPt